1.
# InAg2Rh, PBEsol geometry, DFT SCAN
# **D(E_F)**: 0.488 states/eV per atom
# **Electronic total energy**: -32.47 eV per atom
data_InAg2Rh
_symmetry_space_group_name_H-M 'C 1 m 1'
_symmetry_Int_Tables_number 8
_cell_length_a 9.898
_cell_length_b 3.027
_cell_length_c 4.865
_cell_angle_alpha 90.00
_cell_angle_beta 114.06
_cell_angle_gamma 90.00
loop_
_symmetry_equiv_pos_as_xyz
'x,y,z'
'x,-y,z'
'x+1/2,y+1/2,z'
'x+1/2,-y+1/2,z'
loop_
_atom_site_label
_atom_site_fract_x
_atom_site_fract_y
_atom_site_fract_z
In1 0.000 0.000 0.000
Ag1 0.009 0.500 0.509
Ag2 0.257 0.500 0.395
Rh1 0.258 0.000 0.902


2.
# InAgRh, PBEsol geometry, DFT SCAN
# **D(E_F)**: 0.460 states/eV per atom
# **Electronic total energy**: -32.92 eV per atom
data_InAgRh
_symmetry_space_group_name_H-M 'I m m 2'
_symmetry_Int_Tables_number 44
_cell_length_a 3.040
_cell_length_b 3.762
_cell_length_c 8.668
_cell_angle_alpha 90.00
_cell_angle_beta 90.00
_cell_angle_gamma 90.00
loop_
_symmetry_equiv_pos_as_xyz
'x,y,z'
'-x,-y,z'
'-x,y,z'
'x,-y,z'
'x+1/2,y+1/2,z+1/2'
'-x+1/2,-y+1/2,z+1/2'
'-x+1/2,y+1/2,z+1/2'
'x+1/2,-y+1/2,z+1/2'
loop_
_atom_site_label
_atom_site_fract_x
_atom_site_fract_y
_atom_site_fract_z
In1 0.000 0.000 0.000
Ag1 0.000 0.000 0.324
Rh1 0.000 0.000 0.654


3.
# InAgRu2, PBEsol geometry, DFT SCAN
# **D(E_F)**: 0.842 states/eV per atom
# **Electronic total energy**: -33.21 eV per atom
data_InAgRu2
_symmetry_space_group_name_H-M 'A m m 2'
_symmetry_Int_Tables_number 38
_cell_length_a 4.230
_cell_length_b 2.825
_cell_length_c 10.764
_cell_angle_alpha 90.00
_cell_angle_beta 90.00
_cell_angle_gamma 90.00
loop_
_symmetry_equiv_pos_as_xyz
'x,y,z'
'-x,-y,z'
'-x,y,z'
'x,-y,z'
'x,y+1/2,z+1/2'
'-x,-y+1/2,z+1/2'
'-x,y+1/2,z+1/2'
'x,-y+1/2,z+1/2'
loop_
_atom_site_label
_atom_site_fract_x
_atom_site_fract_y
_atom_site_fract_z
In1 0.000 0.000 0.000
Ag1 0.500 0.000 0.362
Ru1 0.000 0.000 0.736
Ru2 0.500 0.000 0.630


4.
# InAgRu2, PBEsol geometry, DFT SCAN
# **D(E_F)**: 0.626 states/eV per atom
# **Electronic total energy**: -33.08 eV per atom
data_InAgRu2
_symmetry_space_group_name_H-M 'P 4/m m m'
_symmetry_Int_Tables_number 123
_symmetry_space_group_name_Hall '-P 4 2'
_cell_length_a 3.171
_cell_length_b 3.171
_cell_length_c 6.218
_cell_angle_alpha 90.00
_cell_angle_beta 90.00
_cell_angle_gamma 90.00
loop_
_atom_site_label
_atom_site_fract_x
_atom_site_fract_y
_atom_site_fract_z
In1 0.000 0.000 0.000
Ag1 0.000 0.000 0.500
Ru1 0.500 0.500 0.254


5.
# InAgRu2, PBEsol geometry, DFT SCAN
# **D(E_F)**: 0.613 states/eV per atom
# **Electronic total energy**: -33.34 eV per atom
data_InAgRu2
_symmetry_space_group_name_H-M 'P m m 2'
_symmetry_Int_Tables_number 25
_cell_length_a 2.836
_cell_length_b 3.689
_cell_length_c 6.029
_cell_angle_alpha 90.00
_cell_angle_beta 90.00
_cell_angle_gamma 90.00
loop_
_symmetry_equiv_pos_as_xyz
'x,y,z'
'-x,-y,z'
'-x,y,z'
'x,-y,z'
loop_
_atom_site_label
_atom_site_fract_x
_atom_site_fract_y
_atom_site_fract_z
In1 0.000 0.000 0.000
Ag1 0.500 0.500 0.734
Ru1 0.000 0.000 0.464
Ru2 0.500 0.500 0.277


6.
# In5AgS8, PBEsol geometry, DFT SCAN
# **D(E_F)**: 0.013 states/eV per atom
# **ΔE_f (raw)**: -0.65 eV/atom
data_In5AgS8
_symmetry_space_group_name_H-M 'F -4 3 m'
_symmetry_Int_Tables_number 216
_symmetry_space_group_name_Hall 'F -4 2 3'
_cell_length_a 10.796
_cell_length_b 10.796
_cell_length_c 10.796
_cell_angle_alpha 90.00
_cell_angle_beta 90.00
_cell_angle_gamma 90.00
loop_
_atom_site_label
_atom_site_fract_x
_atom_site_fract_y
_atom_site_fract_z
In1 0.000 0.000 0.000
In2 0.119 0.119 0.619
Ag1 0.250 0.250 0.250
S1 0.119 0.119 0.381
S2 0.134 0.134 0.866


7.
# InAgSb2, PBEsol geometry, DFT SCAN
# **D(E_F)**: 0.465 states/eV per atom
# **ΔE_f (raw)**: 0.23 eV/atom
data_InAgSb2
_symmetry_space_group_name_H-M 'P 4/m m m'
_symmetry_Int_Tables_number 123
_symmetry_space_group_name_Hall '-P 4 2'
_cell_length_a 4.616
_cell_length_b 4.616
_cell_length_c 4.488
_cell_angle_alpha 90.00
_cell_angle_beta 90.00
_cell_angle_gamma 90.00
loop_
_atom_site_label
_atom_site_fract_x
_atom_site_fract_y
_atom_site_fract_z
In1 0.000 0.000 0.000
Ag1 0.500 0.500 0.000
Sb1 0.000 0.500 0.500


8.
# InAgSb2, PBEsol geometry, DFT SCAN
# **D(E_F)**: 0.492 states/eV per atom
# **ΔE_f (raw)**: 0.15 eV/atom
data_InAgSb2
_symmetry_space_group_name_H-M 'C m m m'
_symmetry_Int_Tables_number 65
_symmetry_space_group_name_Hall '-C 2 2'
_cell_length_a 4.235
_cell_length_b 4.696
_cell_length_c 9.756
_cell_angle_alpha 90.00
_cell_angle_beta 90.00
_cell_angle_gamma 90.00
loop_
_atom_site_label
_atom_site_fract_x
_atom_site_fract_y
_atom_site_fract_z
In1 0.000 0.000 0.000
Ag1 0.000 0.000 0.500
Sb1 0.000 0.500 0.283


9.
# InAgSb2, PBEsol geometry, DFT SCAN
# **D(E_F)**: 0.336 states/eV per atom
# **ΔE_f (raw)**: 0.09 eV/atom
data_InAgSb2
_symmetry_space_group_name_H-M 'C 1 m 1'
_symmetry_Int_Tables_number 8
_cell_length_a 8.429
_cell_length_b 3.134
_cell_length_c 7.498
_cell_angle_alpha 90.00
_cell_angle_beta 95.99
_cell_angle_gamma 90.00
loop_
_symmetry_equiv_pos_as_xyz
'x,y,z'
'x,-y,z'
'x+1/2,y+1/2,z'
'x+1/2,-y+1/2,z'
loop_
_atom_site_label
_atom_site_fract_x
_atom_site_fract_y
_atom_site_fract_z
In1 0.000 0.000 0.000
Ag1 0.228 0.500 0.217
Sb1 0.264 0.000 0.734
Sb2 0.458 0.000 0.429


10.
# InAg2Sb, PBEsol geometry, DFT SCAN
# **D(E_F)**: 0.317 states/eV per atom
# **ΔE_f (raw)**: 0.11 eV/atom
data_InAg2Sb
_symmetry_space_group_name_H-M 'R -3 m'
_symmetry_Int_Tables_number 166
_symmetry_space_group_name_Hall '-R 3 2"'
_cell_length_a 3.2923
_cell_length_b 3.2923
_cell_length_c 26.6430
_cell_angle_alpha 90.00
_cell_angle_beta 90.00
_cell_angle_gamma 120.00
loop_
_atom_site_label
_atom_site_fract_x
_atom_site_fract_y
_atom_site_fract_z
In1 0.0000 0.0000 0.0000
Ag1 0.0000 0.0000 0.2512
Sb1 0.0000 0.0000 0.5000


11.
# InAgSb2, PBEsol geometry, DFT SCAN
# **D(E_F)**: 0.385 states/eV per atom
# **ΔE_f (raw)**: 0.21 eV/atom
data_InAgSb2
_symmetry_space_group_name_H-M 'C m m m'
_symmetry_Int_Tables_number 65
_symmetry_space_group_name_Hall '-C 2 2'
_cell_length_a 6.521
_cell_length_b 8.674
_cell_length_c 3.375
_cell_angle_alpha 90.00
_cell_angle_beta 90.00
_cell_angle_gamma 90.00
loop_
_atom_site_label
_atom_site_fract_x
_atom_site_fract_y
_atom_site_fract_z
In1 0.000 0.000 0.000
Ag1 0.000 0.500 0.000
Sb1 0.250 0.250 0.500


12.
# ScInAg, PBEsol geometry, DFT SCAN
# **D(E_F)**: 0.590 states/eV per atom
# **Electronic total energy**: -26.67 eV per atom
data_ScInAg
_symmetry_space_group_name_H-M 'I 4 m m'
_symmetry_Int_Tables_number 107
_symmetry_space_group_name_Hall 'I 4 -2'
_cell_length_a 3.238
_cell_length_b 3.238
_cell_length_c 11.345
_cell_angle_alpha 90.00
_cell_angle_beta 90.00
_cell_angle_gamma 90.00
loop_
_atom_site_label
_atom_site_fract_x
_atom_site_fract_y
_atom_site_fract_z
Sc1 0.000 0.000 0.000
In1 0.000 0.000 0.680
Ag1 0.000 0.000 0.339